A plane-wave DFT calculation with GGA-PBEsol was carried out for a relaxed structure of ZnCd3.

Cell: 3.0649 4.1873 6.0031 Å, 90.00 90.00 90.00°
Closest atoms and distances in Å follow each position.
Space group Pmmm (No. 47)
Symmetry-distinct sites (fractional):
Zn 0.0000 0.0000 0.0000 x1  10 Cd 2.97-3.00, 2 Zn 3.06
Cd 0.0000 0.0000 0.5000 x1  2 Zn 3.00, 10 Cd 3.03-3.06
Cd 0.5000 0.5000 0.2393 x2  8 Cd 2.87-3.13, 4 Zn 2.97

Values from the calculation:
As for the density of states at the Fermi level: 1.4 states/eV/f.u. The formation energy from the elements comes out at 0.0613 eV per atom. The value obtained for the total energy is -1.23 eV per atom.



A plane-wave DFT calculation with GGA-PBEsol was carried out for a relaxed structure of P2IrI.

Cell: 6.4295 6.4295 9.2491 Å, 90.00 90.00 90.00°
Closest atoms and distances in Å follow each position.
Space group I-42d (No. 122)
Symmetry-distinct sites (fractional):
P 0.1523 0.2500 0.1250 x8  2 Ir 2.21
Ir 0.0000 0.0000 0.0000 x4  4 P 2.21
I 0.0000 0.0000 0.5000 x4  4 P 2.99

Values from the calculation:
As for the density of states at the Fermi level: 1.7 states/eV/f.u. The calculation puts the formation energy without anion corrections at 0.151 eV per atom. The value obtained for the total energy is -5.64 eV per atom.



A plane-wave DFT calculation with GGA-PBEsol was carried out for a relaxed structure of Li2PrTl.

Cell: 6.9371 6.9371 6.9371 Å, 90.00 90.00 90.00°
Closest atoms and distances in Å follow each position.
Space group Fm-3m (No. 225)
Symmetry-distinct sites (fractional):
Li 0.2500 0.2500 0.2500 x8  4 Pr 3.00, 4 Tl 3.00
Pr 0.0000 0.0000 0.0000 x4  8 Li 3.00
Tl 0.0000 0.0000 0.5000 x4  8 Li 3.00

Values from the calculation:
As for the density of states at the Fermi level: 0.9 states/eV/f.u. The formation energy from the elements comes out at -0.2996 eV per atom. The value obtained for the total energy is -3.24 eV per atom.



A plane-wave DFT calculation with GGA-PBEsol was carried out for a relaxed structure of Li3Hg5.

Cell: 7.3580 9.1349 4.5472 Å, 90.00 90.00 90.00°
Closest atoms and distances in Å follow each position.
Space group Cmmm (No. 65)
Symmetry-distinct sites (fractional):
Li 0.0000 0.0000 0.0000 x2  8 Hg 2.76-2.93
Li 0.0000 0.2741 0.5000 x4  10 Hg 2.93-3.07
Hg 0.0000 0.5000 0.0000 x2  8 Hg 2.93-3.10, 4 Li 3.07
Hg 0.2134 0.0000 0.5000 x4  6 Li 2.76-2.96
Hg 0.2500 0.2500 0.0000 x4  6 Hg 2.93-3.23, 6 Li 2.93

Values from the calculation:
As for the energy above the most stable polymorph in this dataset: 0.0000 eV/atom. As for the density of states at the Fermi level: 2.5 states/eV/f.u. The formation energy from the elements comes out at -0.3196 eV per atom. The value obtained for the total energy is -1.41 eV per atom.



A plane-wave DFT calculation with GGA-PBEsol was carried out for a relaxed structure of BeHgMo4.

Cell: 7.3130 7.3130 7.3130 Å, 90.00 90.00 90.00°
Closest atoms and distances in Å follow each position.
Space group F-43m (No. 216)
Symmetry-distinct sites (fractional):
Be 0.0000 0.0000 0.0000 x4  12 Mo 3.03, 4 Hg 3.17
Hg 0.2500 0.2500 0.7500 x4  12 Mo 3.03, 4 Be 3.17
Mo 0.1253 0.1253 0.3747 x16  6 Mo 2.58-2.59

Values from the calculation:
As for the density of states at the Fermi level: 5.6 states/eV/f.u. The formation energy from the elements comes out at 0.7356 eV per atom. The value obtained for the total energy is -7.87 eV per atom.



A plane-wave DFT calculation with GGA-PBEsol was carried out for a relaxed structure of ZrWN2F.

Cell: 3.9661 3.9661 3.8720 Å, 90.00 90.00 90.00°
Closest atoms and distances in Å follow each position.
Space group P4/mmm (No. 123)
Symmetry-distinct sites (fractional):
Zr 0.0000 0.0000 0.0000 x1  8 N 2.77, 4 F 2.80
W 0.5000 0.5000 0.5000 x1  2 F 1.94, 4 N 1.98
N 0.0000 0.5000 0.5000 x2  2 W 1.98
F 0.5000 0.5000 0.0000 x1  2 W 1.94

Values from the calculation:
As for the density of states at the Fermi level: 3.6 states/eV/f.u. The calculation puts the formation energy without anion corrections at -0.588 eV per atom. The value obtained for the total energy is -8.96 eV per atom.



A plane-wave DFT calculation with GGA-PBEsol was carried out for a relaxed structure of MgBeRe2.

Cell: 5.9661 5.9661 5.9661 Å, 90.00 90.00 90.00°
Closest atoms and distances in Å follow each position.
Space group Fm-3m (No. 225)
Symmetry-distinct sites (fractional):
Mg 0.0000 0.0000 0.0000 x4  8 Re 2.58
Be 0.0000 0.0000 0.5000 x4  8 Re 2.58
Re 0.2500 0.2500 0.2500 x8  4 Be 2.58, 4 Mg 2.58

Values from the calculation:
As for the energy above the most stable polymorph in this dataset: 0.7109 eV/atom. As for the density of states at the Fermi level: 5.5 states/eV/f.u. The formation energy from the elements comes out at 0.7837 eV per atom. The value obtained for the total energy is -7.31 eV per atom.



A plane-wave DFT calculation with GGA-PBEsol was carried out for a relaxed structure of Ga2BiC.

Cell: 5.5807 5.5807 10.0449 Å, 90.00 90.00 90.00°
Closest atoms and distances in Å follow each position.
Space group I-42d (No. 122)
Symmetry-distinct sites (fractional):
Ga 0.1260 0.2500 0.1250 x8  2 C 2.00
Bi 0.0000 0.0000 0.5000 x4  4 Ga 2.81
C 0.0000 0.0000 0.0000 x4  4 Ga 2.00

Values from the calculation:
As for the density of states at the Fermi level: 1.8 states/eV/f.u. The formation energy from the elements comes out at 0.4435 eV per atom. The value obtained for the total energy is -4.71 eV per atom.



A plane-wave DFT calculation with GGA-PBEsol was carried out for a relaxed structure of SrHgW2.

Cell: 2.8156 5.1669 11.0664 Å, 90.00 90.00 90.00°
Closest atoms and distances in Å follow each position.
Space group Immm (No. 71)
Symmetry-distinct sites (fractional):
Sr 0.0000 0.0000 0.0000 x2  2 Sr 2.82, 4 Hg 2.94
Hg 0.0000 0.0000 0.5000 x2  2 Hg 2.82, 4 W 2.89, 4 Sr 2.94
W 0.0000 0.5000 0.2280 x4  6 W 2.82-2.98, 2 Hg 2.89

Values from the calculation:
As for the density of states at the Fermi level: 2.8 states/eV/f.u. The formation energy from the elements comes out at 0.9665 eV per atom. The value obtained for the total energy is -6.54 eV per atom.



A plane-wave DFT calculation with GGA-PBEsol was carried out for a relaxed structure of LaMn4Bi3O12.

Cell: 5.4250 7.7327 5.5800 Å, 90.00 90.42 90.00°
Closest atoms and distances in Å follow each position.
Space group Pm (No. 6)
Symmetry-distinct sites (fractional):
La 0.0000 0.0000 0.0000 x1  8 O 2.41-2.69
Mn 0.0085 0.2508 0.5435 x2  6 O 1.98-2.01
Mn 0.5103 0.2507 0.0431 x2  6 O 1.98-2.02
Bi 0.0205 0.5000 0.0974 x1  6 O 2.35-2.58
Bi 0.5008 0.5000 0.5965 x1  4 O 2.34-2.42
Bi 0.5188 0.0000 0.4928 x1  4 O 2.34-2.44
O 0.0939 0.0000 0.5598 x1  2 Mn 2.00
O 0.2132 0.2917 0.8387 x2  2 Mn 1.99-2.01
O 0.3009 0.2916 0.3360 x2  2 Mn 2.00-2.02
O 0.4399 0.0000 0.0620 x1  2 Mn 1.98
O 0.5944 0.5000 0.0167 x1  2 Mn 1.99
O 0.7153 0.2067 0.7476 x2  2 Mn 1.99-2.02
O 0.8023 0.2126 0.2509 x2  2 Mn 1.98-1.99
O 0.9247 0.5000 0.5235 x1  2 Mn 1.98

Values from the calculation:
As for the density of states at the Fermi level: 2.9 states/eV/f.u. The calculation puts the formation energy without anion corrections at -1.743 eV per atom. The value obtained for the total energy is -7.75 eV per atom.



A plane-wave DFT calculation with GGA-PBEsol was carried out for a relaxed structure of ZrSc.

Cell: 4.4769 4.4769 8.9381 Å, 90.00 90.00 90.00°
Closest atoms and distances in Å follow each position.
Space group I4_1/amd (No. 141, origin choice 2)
Symmetry-distinct sites (fractional):
Zr 0.0000 0.2500 0.3750 x4  4 Zr 3.16, 8 Sc 3.16-3.17
Sc 0.0000 0.2500 0.8750 x4  8 Zr 3.16-3.17, 4 Sc 3.16

Values from the calculation:
As for the density of states at the Fermi level: 2.5 states/eV/f.u. The formation energy from the elements comes out at 0.0196 eV per atom. The value obtained for the total energy is -7.83 eV per atom.



A plane-wave DFT calculation with GGA-PBEsol was carried out for a relaxed structure of La3IrPb.

Cell: 5.5096 5.5096 5.5096 Å, 90.00 90.00 90.00°
Closest atoms and distances in Å follow each position.
Space group Pm-3m (No. 221)
Symmetry-distinct sites (fractional):
La 0.0000 0.0000 0.5000 x3  2 Ir 2.75
Ir 0.0000 0.0000 0.0000 x1  6 La 2.75
Pb 0.5000 0.5000 0.5000 x1  12 La 3.90

Values from the calculation:
As for the energy above the most stable polymorph in this dataset: 0.1276 eV/atom. As for the density of states at the Fermi level: 4.4 states/eV/f.u. The formation energy from the elements comes out at -0.4828 eV per atom. The value obtained for the total energy is -6.45 eV per atom.